## 1
V2Ag2O7: optimized geometry, GGA+U.

a b c (Å): 5.727 5.727 5.106
angles (deg): 94.54 94.54 104.74
Fractional coordinates of all 11 atoms:
V  0.239  0.239  0.410
V  0.761  0.761  0.590
Ag  0.313  0.687  0.000
Ag  0.687  0.313  0.000
O  0.000  0.000  0.500
O  0.100  0.422  0.228
O  0.388  0.388  0.707
O  0.422  0.100  0.228
O  0.578  0.900  0.772
O  0.612  0.612  0.293
O  0.900  0.578  0.772

Output
Theoretical density (g/cm3): 4.4


## 2
V2Ag2O7: optimized geometry, GGA+U.

a b c (Å): 6.168 6.168 5.216
angles (deg): 105.65 105.65 94.23
Fractional coordinates of all 11 atoms:
V  0.190  0.190  0.425
V  0.810  0.810  0.575
Ag  0.309  0.691  0.000
Ag  0.691  0.309  0.000
O  0.000  0.000  0.500
O  0.036  0.346  0.239
O  0.346  0.036  0.239
O  0.375  0.375  0.752
O  0.625  0.625  0.248
O  0.654  0.964  0.761
O  0.964  0.654  0.761

Output
Theoretical density (g/cm3): 3.9


Least stable of them? 1.


## 1
VAg3O: optimized geometry, GGA+U.

a b c (Å): 4.503 4.503 4.503
angles (deg): 90.00 90.00 90.00
Fractional coordinates of all 5 atoms:
V  0.000  0.000  0.000
Ag  0.000  0.500  0.500
Ag  0.500  0.000  0.500
Ag  0.500  0.500  0.000
O  0.500  0.500  0.500

Output
Theoretical density (g/cm3): 7.1


## 2
VAg3O: optimized geometry, GGA+U.

a b c (Å): 5.072 5.072 5.072
angles (deg): 90.00 90.00 90.00
Fractional coordinates of all 5 atoms:
V  0.000  0.000  0.000
Ag  0.000  0.000  0.500
Ag  0.000  0.500  0.000
Ag  0.500  0.000  0.000
O  0.500  0.500  0.500

Output
Theoretical density (g/cm3): 5.0


Least stable of them? 2.